# 1
The following is a PBE-GGA calculation of a relaxed structure of NaTl3Br4, from the Alexandria database.

a = 9.3645 Å, b = 13.1584 Å, c = 4.6416 Å
α = 90.00°, β = 90.00°, γ = 90.00°
Closest atoms and distances in Å follow each position.
Space group Cmmm (No. 65)
Symmetry-distinct sites (fractional):
Na (0.0000, 0.0000, 0.0000) [2 per cell]  6 Br 3.11-3.17
Tl (0.0000, 0.5000, 0.0000) [2 per cell]  6 Br 3.43-3.46
Tl (0.2500, 0.2500, 0.5000) [4 per cell]  6 Br 3.29-3.30
Br (0.0000, 0.2367, 0.0000) [4 per cell]  1 Na 3.11, 5 Tl 3.30-3.46
Br (0.2303, 0.0000, 0.5000) [4 per cell]  2 Na 3.17, 4 Tl 3.29-3.43

**ΔE_f (raw)**: -1.020 eV/atom

=====

# 2
The following is a PBE-GGA calculation of a relaxed structure of NaTl2Br4, from the Alexandria database.

a = 7.7544 Å, b = 7.7544 Å, c = 4.6451 Å
α = 90.00°, β = 90.00°, γ = 90.00°
Closest atoms and distances in Å follow each position.
Space group P-42m (No. 111)
Symmetry-distinct sites (fractional):
Na (0.0000, 0.0000, 0.0000) [1 per cell]  4 Br 2.87
Tl (0.0000, 0.5000, 0.5000) [2 per cell]  4 Br 3.01
Br (0.2420, 0.2420, 0.2348) [4 per cell]  1 Na 2.87, 2 Tl 3.01

**ΔE_f (raw)**: -0.854 eV/atom
**E above lowest polymorph**: 0.0000 eV/atom

=====

# 3
The following is a PBE-GGA calculation of a relaxed structure of NaTl2Br6, from the Alexandria database.

a = 14.7717 Å, b = 12.9312 Å, c = 8.5593 Å
α = 90.00°, β = 111.06°, γ = 90.00°
Closest atoms and distances in Å follow each position.
Space group C2/c (No. 15)
Symmetry-distinct sites (fractional):
Na (0.0000, 0.0844, 0.2500) [4 per cell]  6 Br 2.98-3.09
Tl (0.2078, 0.3927, 0.2426) [8 per cell]  4 Br 2.68-2.78
Br (0.0972, 0.0965, 0.6337) [8 per cell]  1 Tl 2.69
Br (0.1287, 0.4915, 0.4515) [8 per cell]  2 Tl 2.77-2.78
Br (0.1598, 0.1932, 0.1821) [8 per cell]  1 Tl 2.68, 1 Na 2.98

**ΔE_f (raw)**: -0.694 eV/atom
**E above lowest polymorph**: 0.0000 eV/atom

=====

# 4
The following is a PBE-GGA calculation of a relaxed structure of Na3TlBr, from the Alexandria database.

a = 5.9453 Å, b = 5.9453 Å, c = 5.9453 Å
α = 90.00°, β = 90.00°, γ = 90.00°
Closest atoms and distances in Å follow each position.
Space group Pm-3m (No. 221)
Symmetry-distinct sites (fractional):
Na (0.0000, 0.0000, 0.5000) [3 per cell]  2 Tl 2.97
Tl (0.0000, 0.0000, 0.0000) [1 per cell]  6 Na 2.97
Br (0.5000, 0.5000, 0.5000) [1 per cell]  12 Na 4.20

**ΔE_f (raw)**: -0.123 eV/atom
**E above lowest polymorph**: 0.3305 eV/atom

=====

Question: Which value of ΔE_f (raw) does entry 1 give?
Answer: -1.020 eV/atom